Arrangement a

This record from Alexandria describes a PBEsol-optimized structure of LaZrCu2. The functional is meta-GGA SCAN.

Values from the calculation:
Theoretical density (Mg/m³): 7.44
V (Å³/f.u.): 79.8
D(E_F) (states/eV/atom): 1.2986
Crystal system: orthorhombic
Total magnetic moment (μB/f.u.): 0.00

Cell: 4.239 5.744 5.744 Å, 34.77 90.00 90.00°
Positions (direct):
La 0.000 0.000 0.000
Zr 0.500 0.293 0.293
Cu 0.000 0.728 0.728
Cu 0.500 0.599 0.599

Arrangement b

This record from Alexandria describes a PBEsol-optimized structure of LaZrCu2. The functional is meta-GGA SCAN.

Values from the calculation:
Theoretical density (Mg/m³): 7.56
V (Å³/f.u.): 78.4
D(E_F) (states/eV/atom): 0.9245
Crystal system: tetragonal
Total magnetic moment (μB/f.u.): 0.61

Cell: 3.346 3.346 7.006 Å, 90.00 90.00 90.00°
Positions (direct):
La 0.000 0.000 0.000
Zr 0.000 0.000 0.500
Cu 0.500 0.500 0.305
Cu 0.500 0.500 0.695

The computed energies, referenced to the most stable structure and given in meV per atom, are arrangement a 88; arrangement b 0.

Arrangement a

This record from Alexandria describes a PBEsol-optimized structure of LiCu5. The functional is meta-GGA SCAN.

Values from the calculation:
Theoretical density (Mg/m³): 6.80
V (Å³/f.u.): 79.3
D(E_F) (states/eV/atom): 0.3014
Crystal system: hexagonal
Total magnetic moment (μB/f.u.): 0.00

Cell: 4.775 4.775 4.014 Å, 90.00 90.00 120.00°
Positions (direct):
Li 0.000 0.000 0.000
Cu 0.000 0.500 0.500
Cu 0.333 0.667 0.000
Cu 0.500 0.000 0.500
Cu 0.500 0.500 0.500
Cu 0.667 0.333 0.000

Arrangement b

This record from Alexandria describes a PBEsol-optimized structure of LiCu5. The functional is meta-GGA SCAN.

Values from the calculation:
Theoretical density (Mg/m³): 7.88
V (Å³/f.u.): 68.4
D(E_F) (states/eV/atom): 0.3439
Crystal system: monoclinic
Total magnetic moment (μB/f.u.): 0.00

Cell: 4.830 4.830 6.076 Å, 104.88 104.88 30.03°
Positions (direct):
Li 0.000 0.000 0.000
Cu 0.274 0.274 0.052
Cu 0.337 0.337 0.665
Cu 0.615 0.615 0.717
Cu 0.671 0.671 0.335
Cu 0.947 0.947 0.386

Arrangement c

This record from Alexandria describes a PBEsol-optimized structure of LiCu5. The functional is meta-GGA SCAN.

Values from the calculation:
Theoretical density (Mg/m³): 7.24
V (Å³/f.u.): 74.4
D(E_F) (states/eV/atom): 0.2242
Crystal system: cubic
Total magnetic moment (μB/f.u.): 0.00

Cell: 4.722 4.722 4.722 Å, 60.00 60.00 60.00°
Positions (direct):
Li 0.000 0.000 0.000
Cu 0.126 0.625 0.625
Cu 0.250 0.250 0.250
Cu 0.625 0.126 0.625
Cu 0.625 0.625 0.126
Cu 0.625 0.625 0.625

The computed energies, referenced to the most stable structure and given in meV per atom, are arrangement a 54; arrangement b 0; arrangement c 62.